TbHoMn17 | PBE | relaxed

Results
Density of states at the Fermi level (states/eV per cell): 18.4
Calculated total energy (eV per atom): -8.6883
Formation energy (eV per atom): 0.00

POSCAR file:
```
TbHoMn17
1.0
6.2916 -0.1511 0.5732
0.5096 6.2728 0.5732
-0.1679 -0.1511 6.3154
Mn Ho Tb
17 1 1
Direct
0.0003 0.0003 0.5000
0.7249 0.2752 0.0003
0.8769 0.3554 0.3554
0.3554 0.3554 0.8769
0.9004 0.9004 0.9004
0.0998 0.0998 0.0998
0.6441 0.6441 0.1234
0.3554 0.8769 0.3554
0.0003 0.5000 0.0003
0.5000 0.0003 0.0003
0.0003 0.7249 0.2752
0.0003 0.2752 0.7249
0.2752 0.7249 0.0003
0.1234 0.6441 0.6441
0.2752 0.0003 0.7249
0.7249 0.0003 0.2752
0.6441 0.1234 0.6441
0.3546 0.3546 0.3546
0.6446 0.6446 0.6446
```